Record 1
The following is a DFT calculation (meta-GGA SCAN) of a PBEsol-optimized structure of CaAgF5.

a = 5.5203 Å, b = 10.2752 Å, c = 8.1133 Å
α = 90.00°, β = 111.13°, γ = 90.00°
With the nearest neighbours (Å) after each atom.
Fractional coordinates of all 28 atoms:
Ca  0.0326  0.0187  0.2581  6 F 2.18-2.43
Ca  0.0326  0.4813  0.7581  6 F 2.18-2.43
Ca  0.9674  0.5187  0.2419  6 F 2.18-2.43
Ca  0.9674  0.9813  0.7419  6 F 2.18-2.43
Ag  0.3743  0.2473  0.5967  6 F 1.99-2.12
Ag  0.3743  0.2527  0.0967  6 F 1.99-2.12
Ag  0.6257  0.7473  0.9033  6 F 1.99-2.12
Ag  0.6257  0.7527  0.4033  6 F 1.99-2.12
F  0.0776  0.1140  0.5445  1 Ag 2.06
F  0.0776  0.3860  0.0445  1 Ag 2.06
F  0.1227  0.1027  0.0056  1 Ag 2.03
F  0.1227  0.3973  0.5056  1 Ag 2.03
F  0.3243  0.6305  0.3582  1 Ag 2.01, 1 Ca 2.18
F  0.3243  0.8695  0.8582  1 Ag 2.01, 1 Ca 2.18
F  0.3365  0.1953  0.3368  2 Ag 2.11-2.12
F  0.3365  0.3047  0.8368  2 Ag 2.11-2.12
F  0.3879  0.5971  0.8065  1 Ag 1.99, 1 Ca 2.20
F  0.3879  0.9029  0.3065  1 Ag 1.99, 1 Ca 2.20
F  0.6121  0.0971  0.6935  1 Ag 1.99, 1 Ca 2.20
F  0.6121  0.4029  0.1935  1 Ag 1.99, 1 Ca 2.20
F  0.6635  0.6953  0.1632  2 Ag 2.11-2.12
F  0.6635  0.8047  0.6632  2 Ag 2.11-2.12
F  0.6757  0.1305  0.1418  1 Ag 2.01, 1 Ca 2.18
F  0.6757  0.3695  0.6418  1 Ag 2.01, 1 Ca 2.18
F  0.8773  0.6027  0.4944  1 Ag 2.03
F  0.8773  0.8973  0.9944  1 Ag 2.03
F  0.9224  0.6140  0.9555  1 Ag 2.06
F  0.9224  0.8860  0.4555  1 Ag 2.06

Values from the calculation:
The calculation puts the total energy at -10.757 eV per atom. The calculation puts the theoretical density at 3759 kg/m3.

Record 2
The following is a DFT calculation (meta-GGA SCAN) of a PBEsol-optimized structure of Sn15Os3O14.

a = 7.1725 Å, b = 7.1725 Å, c = 12.9628 Å
α = 105.98°, β = 105.98°, γ = 59.57°
With the nearest neighbours (Å) after each atom.
Fractional coordinates of all 32 atoms:
Sn  0.0000  0.0000  0.0000  4 O 2.13-2.31
Sn  0.2797  0.7585  0.7583  2 O 2.17-2.35
Sn  0.2904  0.2904  0.7902  3 O 2.10-2.17
Sn  0.3363  0.3363  0.5002  4 O 2.08-2.25
Sn  0.3385  0.8530  0.4949  4 O 2.08-2.27
Sn  0.4266  0.9441  0.2668  3 O 2.07-2.30
Sn  0.5208  0.9955  0.0082  2 O 2.13-2.32
Sn  0.5285  0.5285  0.0307  3 O 2.04-2.08
Sn  0.7520  0.7520  0.7415  3 O 2.07-2.08
Sn  0.7585  0.2797  0.7583  2 O 2.17-2.35
Sn  0.8530  0.3385  0.4949  4 O 2.08-2.27
Sn  0.8641  0.8641  0.5402  3 O 2.09-2.10
Sn  0.9441  0.4266  0.2668  3 O 2.07-2.30
Sn  0.9446  0.9446  0.2608  4 O 2.07-2.32
Sn  0.9955  0.5208  0.0082  2 O 2.13-2.32
Os  0.1381  0.1381  0.8848  6 Sn 2.57-2.61
Os  0.5469  0.5469  0.6143  6 Sn 2.56-2.63
Os  0.7337  0.7337  0.1512  6 Sn 2.54-2.60
O  0.0743  0.0743  0.1723  4 Sn 2.13-2.30
O  0.0856  0.5926  0.7345  3 Sn 2.08-2.17
O  0.1938  0.1938  0.5548  3 Sn 2.11-2.12
O  0.2019  0.6679  0.0346  3 Sn 2.04-2.17
O  0.2736  0.2736  0.3310  3 Sn 2.07-2.08
O  0.2747  0.8248  0.3267  3 Sn 2.07-2.08
O  0.4731  0.4731  0.8613  2 Sn 2.08-2.17
O  0.5431  0.9728  0.4532  4 Sn 2.10-2.32
O  0.5926  0.0856  0.7345  3 Sn 2.08-2.17
O  0.6679  0.2019  0.0346  3 Sn 2.04-2.17
O  0.8079  0.8079  0.9099  4 Sn 2.07-2.32
O  0.8248  0.2747  0.3267  3 Sn 2.07-2.08
O  0.9724  0.9724  0.4461  4 Sn 2.09-2.32
O  0.9728  0.5431  0.4532  4 Sn 2.10-2.32

Values from the calculation:
The calculation puts the total energy at -27.542 eV per atom. The calculation puts the theoretical density at 7843 kg/m3.

Record 3
The following is a DFT calculation (meta-GGA SCAN) of a PBEsol-optimized structure of CeSF.

a = 3.8766 Å, b = 3.8766 Å, c = 6.8825 Å
α = 90.00°, β = 90.00°, γ = 90.00°
With the nearest neighbours (Å) after each atom.
Fractional coordinates of all 6 atoms:
Ce  0.2500  0.2500  0.2356  4 F 2.53
Ce  0.7500  0.7500  0.7644  4 F 2.53
S  0.2500  0.2500  0.6479  5 Ce 2.84-2.86, 4 F 3.10
S  0.7500  0.7500  0.3521  5 Ce 2.84-2.86, 4 F 3.10
F  0.2500  0.7500  0.0000  4 Ce 2.53, 4 F 2.74
F  0.7500  0.2500  0.0000  4 Ce 2.53, 4 F 2.74

Values from the calculation:
The calculation puts the total energy at -22.471 eV per atom. The calculation puts the theoretical density at 6138 kg/m3.

Record 4
The following is a DFT calculation (meta-GGA SCAN) of a PBEsol-optimized structure of HgRhSe2N.

a = 5.1815 Å, b = 5.1815 Å, c = 3.9053 Å
α = 90.00°, β = 90.00°, γ = 90.00°
With the nearest neighbours (Å) after each atom.
Fractional coordinates of all 5 atoms:
Hg  0.0000  0.0000  0.0000  2 N 1.95
Rh  0.5000  0.5000  0.5000  8 Se 3.24
Se  0.0000  0.5000  0.0000  2 Hg 2.59
Se  0.5000  0.0000  0.0000  2 Hg 2.59
N  0.0000  0.0000  0.5000  2 Hg 1.95

Values from the calculation:
The calculation puts the total energy at -28.656 eV per atom. The calculation puts the theoretical density at 7529 kg/m3.

Record 5
The following is a DFT calculation (meta-GGA SCAN) of a PBEsol-optimized structure of SrInI3.

a = 6.2464 Å, b = 6.2464 Å, c = 6.2464 Å
α = 90.00°, β = 90.00°, γ = 90.00°
With the nearest neighbours (Å) after each atom.
Fractional coordinates of all 5 atoms:
Sr  0.0000  0.0000  0.0000  6 I 3.12
In  0.5000  0.5000  0.5000  12 I 4.42
I  0.0000  0.0000  0.5000  2 Sr 3.12
I  0.0000  0.5000  0.0000  2 Sr 3.12
I  0.5000  0.0000  0.0000  2 Sr 3.12

Values from the calculation:
The calculation puts the total energy at -34.300 eV per atom. The calculation puts the theoretical density at 3973 kg/m3.

Record 6
The following is a DFT calculation (meta-GGA SCAN) of a PBEsol-optimized structure of Fe2AsBr.

a = 3.1394 Å, b = 3.1394 Å, c = 6.9260 Å
α = 90.00°, β = 90.00°, γ = 90.00°
With the nearest neighbours (Å) after each atom.
Fractional coordinates of all 4 atoms:
Fe  0.0000  0.0000  0.0000  1 As 2.46, 4 Fe 2.55, 4 Br 2.66
Fe  0.5000  0.5000  0.1800  4 As 2.53, 4 Fe 2.55, 1 Br 2.72
As  0.0000  0.0000  0.3545  5 Fe 2.46-2.53
Br  0.5000  0.5000  0.7876  5 Fe 2.66-2.72

Values from the calculation:
The calculation puts the total energy at -18.996 eV per atom. The calculation puts the theoretical density at 6483 kg/m3.